Ce3Al2VO9 PBE+U relaxed; crystal system = trigonal; calculated volume = 11.28 Å³ per atom; VASP energy = -8.143 eV per atom
1.0
5.403 0.000 0.000
-2.702 4.679 0.000
0.000 0.000 6.689
Ce Al V O
3 2 1 9
Direct
0.000 0.000 0.000
0.333 0.667 0.670
0.667 0.333 0.330
0.333 0.667 0.161
0.667 0.333 0.839
0.000 0.000 0.500
0.000 0.500 0.000
0.170 0.341 0.324
0.170 0.830 0.324
0.341 0.170 0.676
0.500 0.000 0.000
0.500 0.500 0.000
0.659 0.830 0.324
0.830 0.170 0.676
0.830 0.659 0.676